(1)
{"formula": "MgCd8", "functional": "PBE", "state": "relaxed", "lattice_angstrom": [[-0.6322, 6.7340, -2.1867], [-5.9098, -1.0673, -3.8031], [-7.6182, 5.5090, -1.7146]], "species": ["Mg", "Cd", "Cd", "Cd", "Cd", "Cd", "Cd", "Cd", "Cd"], "frac_coords": [[0.0000, 0.0000, 0.0000], [0.3322, 0.6678, 0.0000], [0.6657, 0.3343, 0.6657], [0.3343, 0.6657, 0.6657], [0.0000, 0.0000, 0.6678], [0.3343, 0.6657, 0.3343], [0.6657, 0.3343, 0.3343], [0.0000, 0.0000, 0.3322], [0.6678, 0.3322, 0.0000]], "final_energy_ry_per_atom": -0.0746, "spacegroup": "No. 139", "de_polymorph_mev_per_atom": 0, "e_form_kj_per_mol_atoms": -2.3, "magmom_total_mub_per_fu": 0.0, "n_ef_per_ev_atom": 0.3045, "rho_kg_m3": 7614}

(2)
{"formula": "KCa2P", "functional": "PBE", "state": "relaxed", "lattice_angstrom": [[10.2313, 0.2482, -0.0530], [8.5136, 5.6796, 0.0530], [-9.2822, -3.2494, 2.8330]], "species": ["Ca", "P", "K", "Ca"], "frac_coords": [[0.8938, 0.8938, 0.0000], [0.7860, 0.2860, 0.5000], [0.5671, 0.5671, 0.0000], [0.2530, 0.7530, 0.5000]], "final_energy_ry_per_atom": -0.2277, "spacegroup": "No. 44", "e_form_kj_per_mol_atoms": -45.4, "magmom_total_mub_per_fu": 0.0, "n_ef_per_ev_atom": 0.4053, "rho_kg_m3": 1569}